Li2Cr2O9 | PBE+U | relaxed

- Size of the total moment: 0.314 μB per atom
- Calculated volume: 14.80 A^3/atom
- Energy: -5.70 eV per atom
- D(E_F): 1.64 states/eV per cell

Geometry as CIF:
```
data_Li2Cr2O9
_chemical_formula_sum 'Li8 Cr8 O36'
_cell_length_a 13.8400
_cell_length_b 9.2807
_cell_length_c 6.0071
_cell_angle_alpha 90.00
_cell_angle_beta 94.28
_cell_angle_gamma 90.00
_space_group_name_H-M_alt 'C 1 2/c 1'
_space_group_IT_number 15
loop_
_space_group_symop_operation_xyz
'x,y,z'
'-x,-y,-z'
'-x,y,-z+1/2'
'x,-y,z+1/2'
'x+1/2,y+1/2,z'
'-x+1/2,-y+1/2,-z'
'-x+1/2,y+1/2,-z+1/2'
'x+1/2,-y+1/2,z+1/2'
loop_
_atom_site_label
_atom_site_fract_x
_atom_site_fract_y
_atom_site_fract_z
_atom_site_occupancy
Li1 0.1601 0.0968 0.2447 1
Cr1 0.1183 0.2459 0.7281 1
O1 0.0000 0.3360 0.7500 1
O2 0.0850 0.1446 0.5122 1
O3 0.1077 0.2794 0.0503 1
O4 0.1744 0.1124 0.8979 1
O5 0.1978 0.3616 0.6587 1
```